# PmCd8Ag2

Crystalline PmCd8Ag2 at its relaxed geometry (PBE, Alexandria via LeMat-Bulk).

Cell lengths 8.2391, 12.6159, 5.3554 Å; angles 90.00, 108.67, 90.00 degrees
Space group C2/m (No. 12)
Symmetry-distinct sites (fractional):
1 Pm 0.0000 0.0000 0.0000 (multiplicity 2)
2 Cd 0.0000 0.2530 0.0000 (multiplicity 4)
3 Cd 0.0946 0.5000 0.8042 (multiplicity 4)
4 Cd 0.2029 0.1176 0.6245 (multiplicity 8)
5 Ag 0.0000 0.3071 0.5000 (multiplicity 4)

## Properties
The density of states at the Fermi level comes out at 4.65 states/eV/f.u. The value obtained for the total energy is -35.8 eV/cell.